Sr3CdAu2: optimized geometry, PBE-GGA.

The value obtained for the formation energy is -0.592 eV per atom.

The space group is P4/mmm (No. 123) and the conventional cell measures 3.878, 3.878 and 11.998 Å, with angles of 90.00, 90.00 and 90.00 degrees. Symmetry generates all atoms from Sr at (0.000, 0.000, 0.000), Sr at (0.000, 0.000, 0.318), Cd at (0.500, 0.500, 0.500) and Au at (0.500, 0.500, 0.163).